First-principles (PBE) data for crystalline HfCdCu2Hg at its relaxed geometry, as listed in Alexandria.

Computed properties:
ΔH_f (0 K): 102.8 kJ per mole of atoms
N(E_F): 4.4 states/eV/cell
total magnetization: 0.000 μB/cell

Cell: 5.019 5.019 5.716 Å, 90.00 90.00 90.00°
Atoms (fractional coordinates):
Hf: 0.000 0.000 0.000
Cd: 0.000 0.000 0.500
Cu: 0.000 0.500 0.000
Cu: 0.500 0.000 0.000
Hg: 0.500 0.500 0.500

=====

First-principles (PBE) data for crystalline SrLiNi2 at its relaxed geometry, as listed in Alexandria.

Computed properties:
ΔH_f (0 K): 27.7 kJ per mole of atoms
N(E_F): 4.1 states/eV/cell
total magnetization: 0.343 μB/cell
energy relative to the lowest polymorph listed for this composition: 0.289 eV per atom

Cell: 3.055 4.068 5.998 Å, 90.00 103.93 90.00°
Atoms (fractional coordinates):
Sr: 0.000 0.000 0.000
Li: 0.500 0.000 0.500
Ni: 0.297 0.500 0.667
Ni: 0.703 0.500 0.333

=====

First-principles (PBE) data for crystalline LiAs2Cl at its relaxed geometry, as listed in Alexandria.

Computed properties:
E_form (uncorrected): -0.5587 eV/atom
N(E_F): 0.9 states/eV/cell
total magnetization: 0.000 μB/cell
energy relative to the lowest polymorph listed for this composition: 0.263 eV per atom

Cell: 3.601 3.601 8.828 Å, 90.00 90.00 90.00°
Atoms (fractional coordinates):
Li: 0.000 0.000 0.000
As: 0.000 0.500 0.500
As: 0.500 0.000 0.500
Cl: 0.500 0.500 0.000

=====

First-principles (PBE) data for crystalline YGe2Pt2 at its relaxed geometry, as listed in Alexandria.

Computed properties:
ΔH_f (0 K): -46.5 kJ per mole of atoms
N(E_F): 7.8 states/eV/cell
total magnetization: 0.001 μB/cell

Cell: 7.475 7.475 3.374 Å, 90.00 90.00 90.00°
Atoms (fractional coordinates):
Y: 0.000 0.000 0.000
Y: 0.500 0.500 0.000
Ge: 0.164 0.336 0.500
Ge: 0.336 0.836 0.500
Ge: 0.664 0.164 0.500
Ge: 0.836 0.664 0.500
Pt: 0.131 0.631 0.000
Pt: 0.369 0.131 0.000
Pt: 0.631 0.869 0.000
Pt: 0.869 0.369 0.000

=====

First-principles (PBE) data for crystalline CsCaSbI2 at its relaxed geometry, as listed in Alexandria.

Computed properties:
E_form (uncorrected): -0.5626 eV/atom
N(E_F): 1.5 states/eV/cell
total magnetization: 0.000 μB/cell
energy relative to the lowest polymorph listed for this composition: 0.000 eV per atom

Cell: 6.778 6.778 5.795 Å, 90.00 90.00 90.00°
Atoms (fractional coordinates):
Cs: 0.000 0.000 0.000
Ca: 0.500 0.500 0.000
Sb: 0.500 0.500 0.500
I: 0.000 0.500 0.500
I: 0.500 0.000 0.500

=====

First-principles (PBE) data for crystalline Rb2PuGaSe4 at its relaxed geometry, as listed in Alexandria.

Computed properties:
E_form (uncorrected): -0.9851 eV/atom
N(E_F): 21.6 states/eV/cell
total magnetization: 9.201 μB/cell

Cell: 8.827 8.827 8.827 Å, 120.31 120.23 89.53°
Atoms (fractional coordinates):
Rb: 0.000 0.000 0.000
Rb: 0.500 0.000 0.000
Rb: 0.500 0.000 0.500
Rb: 0.500 0.500 0.500
Pu: 0.000 0.500 0.500
Pu: 0.500 0.500 0.000
Ga: 0.000 0.000 0.500
Ga: 0.000 0.500 0.000
Se: 0.181 0.730 0.451
Se: 0.221 0.270 0.951
Se: 0.231 0.269 0.538
Se: 0.231 0.693 0.962
Se: 0.769 0.307 0.038
Se: 0.769 0.731 0.462
Se: 0.779 0.730 0.049
Se: 0.819 0.270 0.549

=====

First-principles (PBE) data for crystalline KPmPa2O8 at its relaxed geometry, as listed in Alexandria.

Computed properties:
E_form (uncorrected): -2.8980 eV/atom
N(E_F): 6.7 states/eV/cell
total magnetization: 2.051 μB/cell

Cell: 6.735 6.735 6.735 Å, 130.81 130.81 72.12°
Atoms (fractional coordinates):
K: 0.000 0.000 0.000
Pm: 0.250 0.750 0.500
Pa: 0.500 0.500 0.000
Pa: 0.750 0.250 0.500
O: 0.131 0.151 0.542
O: 0.131 0.589 0.980
O: 0.411 0.391 0.542
O: 0.411 0.869 0.020
O: 0.609 0.151 0.020
O: 0.609 0.589 0.458
O: 0.849 0.391 0.980
O: 0.849 0.869 0.458

=====

First-principles (PBE) data for crystalline ErAlRu2 at its relaxed geometry, as listed in Alexandria.

Computed properties:
ΔH_f (0 K): -40.3 kJ per mole of atoms
N(E_F): 5.7 states/eV/cell
total magnetization: 0.000 μB/cell

Cell: 4.455 4.455 3.299 Å, 90.00 90.00 90.00°
Atoms (fractional coordinates):
Er: 0.000 0.000 0.000
Al: 0.500 0.500 0.000
Ru: 0.000 0.500 0.500
Ru: 0.500 0.000 0.500